Run 1
Density functional theory data (GGA-PBE) for a relaxed YAlZn2 crystal.

a b c (Å): 4.3405 4.3405 4.0977
angles (deg): 90.00 90.00 90.00
Closest atoms and distances in Å follow each position.
Space group P4/mmm (No. 123)
Asymmetric unit:
Y 0.0000 0.0000 0.0000  8 Zn 2.98, 4 Al 3.07
Al 0.5000 0.5000 0.0000  8 Zn 2.98, 4 Y 3.07
Zn 0.0000 0.5000 0.5000  4 Al 2.98, 4 Y 2.98, 4 Zn 3.07

## Properties
Crystal system: tetragonal
Magnetization (Bohr magnetons per cell): 0.00

=====

Run 2
Density functional theory data (GGA-PBE) for a relaxed YAlZn2 crystal.

a b c (Å): 6.6787 6.6787 6.6787
angles (deg): 90.00 90.00 90.00
Closest atoms and distances in Å follow each position.
Space group Fm-3m (No. 225)
Asymmetric unit:
Y 0.0000 0.0000 0.0000  8 Zn 2.89
Al 0.0000 0.0000 0.5000  8 Zn 2.89
Zn 0.2500 0.2500 0.2500  4 Al 2.89, 4 Y 2.89

## Properties
Crystal system: cubic
Magnetization (Bohr magnetons per cell): 0.00

=====

Last place for stability: run 2

=====

Run 1
Density functional theory data (GGA-PBE) for a relaxed Y2AlZn crystal.

a b c (Å): 5.1061 5.1061 3.5773
angles (deg): 90.00 90.00 90.00
Closest atoms and distances in Å follow each position.
Space group P4/mmm (No. 123)
Asymmetric unit:
Y 0.0000 0.5000 0.0000  4 Al 3.12, 4 Zn 3.12
Al 0.0000 0.0000 0.5000  8 Y 3.12
Zn 0.5000 0.5000 0.5000  8 Y 3.12

## Properties
Crystal system: tetragonal
Magnetization (Bohr magnetons per cell): 0.00

=====

Run 2
Density functional theory data (GGA-PBE) for a relaxed Y2AlZn crystal.

a b c (Å): 3.6331 3.6331 26.7942
angles (deg): 90.00 90.00 120.00
Closest atoms and distances in Å follow each position.
Space group R-3m (No. 166, hexagonal axes)
Asymmetric unit:
Y 0.0000 0.0000 0.2489  3 Zn 3.04, 3 Al 3.09
Al 0.0000 0.0000 0.0000  6 Y 3.09
Zn 0.0000 0.0000 0.5000  6 Y 3.04

## Properties
Crystal system: trigonal
Magnetization (Bohr magnetons per cell): 0.00

=====

Last place for stability: run 2

=====

Run 1
Density functional theory data (GGA-PBE) for a relaxed Y2AlZn crystal.

a b c (Å): 4.4584 3.7398 11.5781
angles (deg): 90.00 90.00 90.00
Closest atoms and distances in Å follow each position.
Space group Amm2 (No. 38)
Asymmetric unit:
Y 0.0000 0.0000 0.0000  4 Zn 3.07, 3 Al 3.16-3.24
Y 0.5000 0.0000 0.3068  4 Al 3.08, 3 Zn 3.18-3.22
Al 0.0000 0.0000 0.7201  2 Zn 2.72
Zn 0.5000 0.0000 0.5850  2 Al 2.72

## Properties
Crystal system: orthorhombic
Magnetization (Bohr magnetons per cell): 0.43

=====

Run 2
Density functional theory data (GGA-PBE) for a relaxed Y2AlZn crystal.

a b c (Å): 4.3170 4.3170 10.2161
angles (deg): 90.00 90.00 90.00
Closest atoms and distances in Å follow each position.
Space group I-4m2 (No. 119)
Asymmetric unit:
Y 0.0000 0.0000 0.0000  4 Al 3.05, 4 Zn 3.34, 4 Y 3.34
Y 0.0000 0.5000 0.2500  4 Zn 3.05, 4 Al 3.34, 4 Y 3.34
Al 0.0000 0.0000 0.5000  8 Y 3.05-3.34, 4 Zn 3.34
Zn 0.0000 0.5000 0.7500  8 Y 3.05-3.34, 4 Al 3.34

## Properties
Crystal system: tetragonal
Magnetization (Bohr magnetons per cell): 0.00

=====

Last place for stability: run 2

=====

Run 1
Density functional theory data (GGA-PBE) for a relaxed Y2AlZn crystal.

a b c (Å): 3.5557 3.5917 7.2796
angles (deg): 90.00 90.00 90.00
Closest atoms and distances in Å follow each position.
Space group Pmmm (No. 47)
Asymmetric unit:
Y 0.0000 0.0000 0.2453  4 Zn 3.09, 4 Al 3.13
Al 0.5000 0.5000 0.5000  8 Y 3.13
Zn 0.5000 0.5000 0.0000  8 Y 3.09

## Properties
Crystal system: orthorhombic
Magnetization (Bohr magnetons per cell): 0.00

=====

Run 2
Density functional theory data (GGA-PBE) for a relaxed Y2AlZn crystal.

a b c (Å): 3.5154 4.6811 6.0973
angles (deg): 90.00 90.00 90.00
Closest atoms and distances in Å follow each position.
Space group Pmm2 (No. 25)
Asymmetric unit:
Y 0.0000 0.0000 0.0000  2 Zn 2.98-3.12, 4 Al 3.07
Y 0.5000 0.5000 0.3568  2 Al 3.01-3.09, 4 Zn 3.08
Al 0.5000 0.5000 0.8502  6 Y 3.01-3.09
Zn 0.0000 0.0000 0.5116  6 Y 2.98-3.12

## Properties
Crystal system: orthorhombic
Magnetization (Bohr magnetons per cell): 0.00

=====

Run 3
Density functional theory data (GGA-PBE) for a relaxed Y2AlZn crystal.

a b c (Å): 3.5615 4.9430 10.6191
angles (deg): 90.00 90.00 90.00
Closest atoms and distances in Å follow each position.
Space group Imm2 (No. 44)
Asymmetric unit:
Y 0.0000 0.0000 0.0000  4 Al 3.10, 2 Zn 3.30, 4 Y 3.41-3.44
Y 0.0000 0.5000 0.2256  4 Zn 3.07, 2 Al 3.40, 2 Y 3.41
Al 0.0000 0.0000 0.4450  2 Zn 2.64
Zn 0.0000 0.5000 0.7613  2 Al 2.64

## Properties
Crystal system: orthorhombic
Magnetization (Bohr magnetons per cell): 0.00

=====

Last place for stability: run 2